The following is a PBE calculation of SrB2Cl8 after structural relaxation, from the Alexandria database.

abc: 6.0797 7.8297 7.8297
angles: 75.61 79.60 79.60
With the nearest neighbours (Å) after each atom.
Fractional coordinates of all 11 atoms:
Sr 0.0000 0.0000 0.0000  6 Cl 2.94-2.97
B 0.6763 0.7925 0.7925  4 Cl 1.81-1.89
B 0.3237 0.2075 0.2075  4 Cl 1.81-1.89
Cl 0.2589 0.2907 0.9710  1 B 1.89
Cl 0.7411 0.0290 0.7093  1 B 1.89
Cl 0.3650 0.7948 0.7948  1 B 1.89
Cl 0.6350 0.2052 0.2052  1 B 1.89
Cl 0.2589 0.9710 0.2907  1 B 1.89
Cl 0.7411 0.7093 0.0290  1 B 1.89
Cl 0.8378 0.6503 0.6503  1 B 1.81
Cl 0.1622 0.3497 0.3497  1 B 1.81

Summary:
Magnetization, Bohr magnetons per cell: 0.00
Symmetry: C2/m (12)
Total energy, eV/atom: -4.031


The following is a PBE calculation of Sr2BTeCl after structural relaxation, from the Alexandria database.

abc: 5.6316 5.5368 5.6316
angles: 90.00 90.00 90.00
With the nearest neighbours (Å) after each atom.
Fractional coordinates of all 5 atoms:
Sr 0.0000 0.0000 0.5000  2 Cl 2.82
Sr 0.5000 0.0000 0.0000  2 Cl 2.82
B 0.5000 0.5000 0.5000  8 Sr 3.95, 4 Te 3.98
Te 0.0000 0.5000 0.0000  2 Cl 2.77
Cl 0.0000 0.0000 0.0000  2 Te 2.77, 4 Sr 2.82

Summary:
Magnetization, Bohr magnetons per cell: 0.66
Symmetry: P4/mmm (123)
Total energy, eV/atom: -2.721


The following is a PBE calculation of SrYB2Cl after structural relaxation, from the Alexandria database.

abc: 4.8167 4.9620 4.8167
angles: 90.00 90.00 90.00
With the nearest neighbours (Å) after each atom.
Fractional coordinates of all 5 atoms:
Y 0.5000 0.5000 0.5000  4 Sr 3.41, 8 B 3.46
Sr 0.0000 0.5000 0.0000  2 Cl 2.48
B 0.0000 0.0000 0.5000  2 Cl 2.41
B 0.5000 0.0000 0.0000  2 Cl 2.41
Cl 0.0000 0.0000 0.0000  4 B 2.41, 2 Sr 2.48

Summary:
Magnetization, Bohr magnetons per cell: 0.00
Symmetry: P4/mmm (123)
Total energy, eV/atom: -3.449


The following is a PBE calculation of TaBCl3 after structural relaxation, from the Alexandria database.

abc: 4.8537 4.8537 4.8537
angles: 90.00 90.00 90.00
With the nearest neighbours (Å) after each atom.
Fractional coordinates of all 5 atoms:
Cl 0.0000 0.5000 0.0000  2 Ta 2.43
Cl 0.0000 0.0000 0.5000  2 Ta 2.43
Cl 0.5000 0.0000 0.0000  2 Ta 2.43
B 0.5000 0.5000 0.5000  12 Cl 3.43
Ta 0.0000 0.0000 0.0000  6 Cl 2.43

Summary:
Magnetization, Bohr magnetons per cell: 0.87
Symmetry: Pm-3m (221)
Total energy, eV/atom: -4.284


The following is a PBE calculation of TaBCl2 after structural relaxation, from the Alexandria database.

abc: 9.1802 9.1802 6.8526
angles: 47.95 47.95 90.00
With the nearest neighbours (Å) after each atom.
Fractional coordinates of all 8 atoms:
B 0.5000 0.5000 0.0000  2 Ta 2.20
B 0.2500 0.7500 0.5000  2 Ta 2.20
Cl 0.7923 0.1250 0.2500  2 Ta 2.48
Cl 0.9577 0.6250 0.2500  2 Ta 2.48
Cl 0.3750 0.2077 0.7500  2 Ta 2.48
Cl 0.8750 0.0423 0.7500  2 Ta 2.48
Ta 0.0000 0.0000 0.0000  2 B 2.20
Ta 0.7500 0.2500 0.5000  2 B 2.20

Summary:
Magnetization, Bohr magnetons per cell: 1.75
Symmetry: I-42d (122)
Total energy, eV/atom: -5.204


The following is a PBE calculation of TaBCl2 after structural relaxation, from the Alexandria database.

abc: 9.2411 9.2411 9.2411
angles: 19.18 19.18 19.18
With the nearest neighbours (Å) after each atom.
Fractional coordinates of all 4 atoms:
B 0.0000 0.0000 0.0000  2 Cl 2.71
Cl 0.9004 0.9004 0.9004  3 Ta 2.55, 1 B 2.71
Cl 0.0996 0.0996 0.0996  3 Ta 2.55, 1 B 2.71
Ta 0.5000 0.5000 0.5000  6 Cl 2.55

Summary:
Magnetization, Bohr magnetons per cell: 0.00
Symmetry: R-3m (166)
Total energy, eV/atom: -4.985


Q: magnetization of number 3 (SrYB2Cl)?
A: 0.00 Bohr magnetons per cell